Computed, not measured: AlMo2W8 after structural relaxation at the PBE level of DFT.

a = 2.6996 Å, b = 7.7958 Å, c = 9.3787 Å
α = 72.88°, β = 84.42°, γ = 90.00°
Closest atoms and distances in Å follow each position.
Space group P1 (No. 1)
One atom of each set of equivalent atoms:
Al (0.0000, 0.0000, 0.0000) [1 per cell]  2 Al 2.70, 6 W 2.74-2.85
Mo (0.0309, 0.2049, 0.4599) [1 per cell]  6 W 2.70-2.75, 2 Mo 2.70
Mo (0.4539, 0.6182, 0.7087) [1 per cell]  6 W 2.66-2.71, 2 Mo 2.70
W (0.1638, 0.3652, 0.9642) [1 per cell]  1 Mo 2.66, 6 W 2.69-2.83, 1 Al 2.80
W (0.2430, 0.9533, 0.7113) [1 per cell]  2 Mo 2.68-2.70, 5 W 2.70-2.94, 1 Al 2.85
W (0.3047, 0.5415, 0.4523) [1 per cell]  7 W 2.70-2.98, 2 Mo 2.71
W (0.4340, 0.1220, 0.2115) [1 per cell]  6 W 2.69-2.97, 1 Mo 2.72, 2 Al 2.77-2.79
W (0.5384, 0.7043, 0.9654) [1 per cell]  5 W 2.66-2.83, 1 Mo 2.71, 2 Al 2.74-2.81
W (0.6457, 0.2763, 0.7187) [1 per cell]  2 Mo 2.69-2.75, 6 W 2.70-3.00
W (0.7757, 0.8675, 0.4537) [1 per cell]  2 Mo 2.67-2.74, 7 W 2.70-2.97
W (0.7884, 0.4621, 0.2106) [1 per cell]  6 W 2.66-2.82, 1 Mo 2.73

Calculated values
DOS(E_F) (states/eV/cell): 5.97
Theoretical density (Mg/m³): 14.95
Calculated volume (A^3/atom): 17.06
Magnetization (μB per cell): 0.0
Final energy (eV per atom): -11.39